A plane-wave DFT calculation with PBE was carried out for a relaxed structure of ZrIrPb2.

Summary:
Its calculated total energy is -24.1 eV/f.u. Its space-group type is F-43m, No. 216.

a = 5.0229 Å, b = 5.0229 Å, c = 5.0229 Å
α = 60.00°, β = 60.00°, γ = 60.00°
Atoms (fractional coordinates):
Pb (0.2500, 0.2500, 0.2500)
Pb (0.0000, 0.0000, 0.0000)
Ir (0.5000, 0.5000, 0.5000)
Zr (0.7500, 0.7500, 0.7500)

=====

A plane-wave DFT calculation with PBE was carried out for a relaxed structure of Cd3Hg6Pb.

Summary:
Its calculated total energy is -8.0 eV/f.u. Its space-group type is P-3m1, No. 164.

a = 3.7513 Å, b = 3.7513 Å, c = 21.8060 Å
α = 90.00°, β = 90.00°, γ = 120.00°
Atoms (fractional coordinates):
Hg (0.3333, 0.6667, 0.8016)
Hg (0.6667, 0.3333, 0.9019)
Hg (0.6667, 0.3333, 0.1984)
Cd (0.0000, 0.0000, 0.7053)
Hg (0.3333, 0.6667, 0.3893)
Cd (0.0000, 0.0000, 0.2947)
Hg (0.6667, 0.3333, 0.6107)
Hg (0.3333, 0.6667, 0.0981)
Pb (0.0000, 0.0000, 0.5000)
Cd (0.0000, 0.0000, 0.0000)

=====

A plane-wave DFT calculation with PBE was carried out for a relaxed structure of Tm3Sb2P.

Summary:
Its calculated total energy is -34.3 eV/f.u. For the uncorrected formation energy, the calculation gives -1.209 eV/atom. Its space-group type is Fddd, No. 70.

a = 7.3034 Å, b = 7.3034 Å, c = 13.2408 Å
α = 100.64°, β = 100.64°, γ = 109.29°
Atoms (fractional coordinates):
Tm (0.0228, 0.5228, 0.5000)
Tm (0.4772, 0.9772, 0.5000)
P (0.9166, 0.9166, 0.8332)
Tm (0.2272, 0.2272, 0.0000)
Tm (0.0866, 0.0691, 0.6752)
Tm (0.3191, 0.8366, 0.1752)
Sb (0.8306, 0.3306, 0.6612)
P (0.0834, 0.0834, 0.1668)
Tm (0.6614, 0.1440, 0.8248)
Tm (0.1634, 0.6809, 0.8248)
Sb (0.7480, 0.7480, 0.4961)
Tm (0.5886, 0.6060, 0.6752)
Sb (0.5020, 0.0020, 0.0039)
P (0.1666, 0.6666, 0.3332)
Tm (0.9309, 0.9134, 0.3248)
Sb (0.6694, 0.1694, 0.3388)
Sb (0.4194, 0.4194, 0.8388)
Tm (0.8560, 0.3386, 0.1752)
P (0.3334, 0.8334, 0.6668)
Sb (0.9980, 0.4980, 0.9961)
Tm (0.7728, 0.7728, 0.0000)
Sb (0.2520, 0.2520, 0.5039)
Tm (0.3940, 0.4114, 0.3248)
Sb (0.5806, 0.5806, 0.1612)

=====

A plane-wave DFT calculation with PBE was carried out for a relaxed structure of MgTlTe2.

Summary:
Its calculated total energy is -11.0 eV/f.u. For the uncorrected formation energy, the calculation gives -0.199 eV/atom. Its space-group type is Cmmm, No. 65.

a = 5.3500 Å, b = 5.3500 Å, c = 4.1530 Å
α = 90.00°, β = 90.00°, γ = 78.98°
Atoms (fractional coordinates):
Tl (0.5000, 0.0000, 0.5000)
Mg (0.0000, 0.5000, 0.5000)
Te (0.0000, 0.0000, 0.0000)
Te (0.5000, 0.5000, 0.0000)